# 1
Entry from Alexandria via LeMat-Bulk: a relaxed ThU2Ir9 crystal (PBE).

a = 5.3104 Å, b = 5.3104 Å, c = 26.3392 Å
α = 90.00°, β = 90.00°, γ = 120.00°
Space group R-3m (No. 166, hexagonal axes)
Asymmetric unit:
1 Th 0.0000 0.0000 0.0000
2 U 0.0000 0.0000 0.1402
3 Ir 0.0000 0.0000 0.3336
4 Ir 0.0000 0.0000 0.5000
5 Ir 0.0033 0.5017 0.9157

Values from the calculation:
Magnetization ... 9.04 Bohr magnetons per cell

=====

# 2
Entry from Alexandria via LeMat-Bulk: a relaxed Th2UIr9 crystal (PBE).

a = 5.3311 Å, b = 5.3311 Å, c = 26.7412 Å
α = 90.00°, β = 90.00°, γ = 120.00°
Space group R-3m (No. 166, hexagonal axes)
Asymmetric unit:
1 Th 0.0000 0.0000 0.1381
2 U 0.0000 0.0000 0.0000
3 Ir 0.0000 0.0000 0.3335
4 Ir 0.0000 0.0000 0.5000
5 Ir 0.0007 0.5004 0.9187

Values from the calculation:
Magnetization ... 4.01 Bohr magnetons per cell

=====

Number 1: formation enthalpy at 0 K -0.528 eV per atom. Number 2: formation enthalpy at 0 K -0.563 eV per atom.